Record 1
First-principles (GGA-PBE) data for crystalline ZnCu6Au4 at its relaxed geometry, as listed in Alexandria via LeMat-Bulk.

Raw total energy = -3.46 eV/atom
Total magnetization = 0.000 μB/cell
Crystal system = tetragonal
Formation enthalpy at 0 K = 79 meV/atom

a b c (Å): 7.3964 7.3964 7.3964
angles (deg): 58.39 139.65 139.65
Closest atoms and distances in Å follow each position.
Atoms (fractional coordinates):
Zn  0.0000  0.0000  0.0000  8 Cu 2.55-2.77, 4 Au 2.66
Cu  0.0000  0.8126  0.4372  3 Cu 2.46-2.71, 3 Au 2.60-2.63
Cu  0.0000  0.4372  0.8126  3 Cu 2.46-2.71, 3 Au 2.60-2.63
Cu  0.3755  0.5628  0.5628  3 Cu 2.46-2.71, 3 Au 2.60-2.63
Cu  0.5000  0.5000  0.0000  4 Cu 2.46, 2 Zn 2.55
Cu  0.6245  0.1874  0.1874  3 Cu 2.46-2.71, 3 Au 2.60-2.63
Cu  0.5000  0.0000  0.5000  4 Cu 2.46, 2 Zn 2.55
Au  0.0000  0.6243  0.0319  7 Cu 2.60-2.88, 1 Zn 2.66
Au  0.4076  0.3757  0.3757  7 Cu 2.60-2.88, 1 Zn 2.66
Au  0.0000  0.0319  0.6243  7 Cu 2.60-2.88, 1 Zn 2.66
Au  0.5924  0.9681  0.9681  7 Cu 2.60-2.88, 1 Zn 2.66

Record 2
First-principles (GGA-PBE) data for crystalline NaCo2Mo2 at its relaxed geometry, as listed in Alexandria via LeMat-Bulk.

Raw total energy = -6.67 eV/atom
Total magnetization = 0.000 μB/cell
Crystal system = tetragonal
Formation enthalpy at 0 K = 769 meV/atom

a b c (Å): 4.3078 4.3078 5.4914
angles (deg): 66.91 66.91 90.00
Closest atoms and distances in Å follow each position.
Atoms (fractional coordinates):
Na  0.0000  0.0000  0.0000  8 Co 3.14, 10 Mo 3.29-3.32
Mo  0.3635  0.3635  0.2729  4 Co 2.39, 1 Mo 2.49
Mo  0.6365  0.6365  0.7271  4 Co 2.39, 1 Mo 2.49
Co  0.7500  0.2500  0.5000  4 Mo 2.39
Co  0.2500  0.7500  0.5000  4 Mo 2.39

Record 3
First-principles (GGA-PBE) data for crystalline Cs2BaTl at its relaxed geometry, as listed in Alexandria via LeMat-Bulk.

Raw total energy = -1.29 eV/atom
Total magnetization = 0.002 μB/cell
Crystal system = cubic
Formation enthalpy at 0 K = 207 meV/atom

a b c (Å): 6.8568 6.8568 6.8568
angles (deg): 60.00 60.00 60.00
Closest atoms and distances in Å follow each position.
Atoms (fractional coordinates):
Cs  0.2500  0.2500  0.2500  4 Ba 4.20, 4 Tl 4.20
Cs  0.7500  0.7500  0.7500  4 Ba 4.20, 4 Tl 4.20
Tl  0.5000  0.5000  0.5000  8 Cs 4.20
Ba  0.0000  0.0000  0.0000  8 Cs 4.20

Record 4
First-principles (GGA-PBE) data for crystalline CsCaI3 at its relaxed geometry, as listed in Alexandria via LeMat-Bulk.

Raw total energy = -3.08 eV/atom
Total magnetization = 0.000 μB/cell
ΔE_f (raw) = -1.581 eV/atom
Crystal system = triclinic

a b c (Å): 9.9860 10.4994 4.7653
angles (deg): 90.03 90.02 81.99
Closest atoms and distances in Å follow each position.
Atoms (fractional coordinates):
I  0.6640  0.3201  0.9017  3 Ca 3.24-3.25
I  0.9965  0.0545  0.4006  1 Ca 3.02
I  0.3657  0.5702  0.4019  2 Ca 3.17
I  0.7768  0.6427  0.4023  3 Ca 3.24-3.25
I  0.4444  0.9083  0.9017  1 Ca 3.02
I  0.0750  0.3926  0.9019  2 Ca 3.17
Cs  0.0858  0.7749  0.9007  6 I 3.79-4.06
Cs  0.3545  0.1879  0.4020  6 I 3.79-4.05
Ca  0.5590  0.6263  0.9022  6 I 3.02-3.25
Ca  0.8817  0.3364  0.4017  6 I 3.02-3.25

Record 5
First-principles (GGA-PBE) data for crystalline Ca2MnIn2Pd5 at its relaxed geometry, as listed in Alexandria via LeMat-Bulk.

Raw total energy = -4.91 eV/atom
Total magnetization = 8.888 μB/cell
Crystal system = tetragonal
Formation enthalpy at 0 K = -451 meV/atom

a b c (Å): 3.5357 10.6170 10.6170
angles (deg): 90.00 90.00 90.00
Closest atoms and distances in Å follow each position.
Atoms (fractional coordinates):
Ca  0.0000  0.6684  0.1684  3 In 2.97-3.23, 6 Pd 3.08-3.32
Ca  0.0000  0.3316  0.8316  3 In 2.97-3.23, 6 Pd 3.08-3.32
Ca  0.0000  0.1684  0.3316  3 In 2.97-3.23, 6 Pd 3.08-3.32
Ca  0.0000  0.8316  0.6684  3 In 2.97-3.23, 6 Pd 3.08-3.32
Mn  0.0000  0.0000  0.0000  8 Pd 2.72
Mn  0.0000  0.5000  0.5000  8 Pd 2.72
In  0.0000  0.1338  0.6338  6 Pd 2.68-2.74, 1 Ca 2.97
In  0.0000  0.8662  0.3662  6 Pd 2.68-2.74, 1 Ca 2.97
In  0.0000  0.6338  0.8662  6 Pd 2.68-2.74, 1 Ca 2.97
In  0.0000  0.3662  0.1338  6 Pd 2.68-2.74, 1 Ca 2.97
Pd  0.5000  0.1867  0.0530  2 Mn 2.72, 2 In 2.74, 2 Pd 2.91
Pd  0.5000  0.8133  0.9470  2 Mn 2.72, 2 In 2.74, 2 Pd 2.91
Pd  0.5000  0.0530  0.8133  2 Mn 2.72, 2 In 2.74, 2 Pd 2.91
Pd  0.5000  0.6867  0.4470  2 Mn 2.72, 2 In 2.74, 2 Pd 2.91
Pd  0.5000  0.9470  0.1867  2 Mn 2.72, 2 In 2.74, 2 Pd 2.91
Pd  0.5000  0.3133  0.5530  2 Mn 2.72, 2 In 2.74, 2 Pd 2.91
Pd  0.5000  0.5530  0.6867  2 Mn 2.72, 2 In 2.74, 2 Pd 2.91
Pd  0.5000  0.4470  0.3133  2 Mn 2.72, 2 In 2.74, 2 Pd 2.91
Pd  0.5000  0.5000  0.0000  4 In 2.68
Pd  0.5000  0.0000  0.5000  4 In 2.68

Record 6
First-principles (GGA-PBE) data for crystalline CsSi3Cl at its relaxed geometry, as listed in Alexandria via LeMat-Bulk.

Raw total energy = -1.65 eV/atom
Total magnetization = 0.000 μB/cell
ΔE_f (raw) = 2.143 eV/atom
Crystal system = cubic

a b c (Å): 5.7788 5.7788 5.7788
angles (deg): 90.00 90.00 90.00
Closest atoms and distances in Å follow each position.
Atoms (fractional coordinates):
Cs  0.0000  0.0000  0.0000  6 Si 2.89
Si  0.0000  0.5000  0.0000  2 Cs 2.89
Si  0.0000  0.0000  0.5000  2 Cs 2.89
Si  0.5000  0.0000  0.0000  2 Cs 2.89
Cl  0.5000  0.5000  0.5000  12 Si 4.09